Record 1
The following is a PBE-GGA calculation of a geometry-optimized ThIn3Ag3 structure, from Alexandria.

abc: 7.4178 7.4178 7.4178
angles: 90.00 90.00 90.00
Closest atoms and distances in Å follow each position.
Fractional positions:
Th 0.0000 0.0000 0.0000  12 In 4.15, 12 Ag 4.15
Th 0.5000 0.5000 0.5000  12 In 4.15, 12 Ag 4.15
In 0.0000 0.2500 0.5000  4 Ag 2.62
In 0.0000 0.7500 0.5000  4 Ag 2.62
In 0.2500 0.5000 0.0000  4 Ag 2.62
In 0.5000 0.0000 0.2500  4 Ag 2.62
In 0.5000 0.0000 0.7500  4 Ag 2.62
In 0.7500 0.5000 0.0000  4 Ag 2.62
Ag 0.0000 0.5000 0.2500  4 In 2.62
Ag 0.0000 0.5000 0.7500  4 In 2.62
Ag 0.2500 0.0000 0.5000  4 In 2.62
Ag 0.5000 0.2500 0.0000  4 In 2.62
Ag 0.5000 0.7500 0.0000  4 In 2.62
Ag 0.7500 0.0000 0.5000  4 In 2.62

Calculated values
Volume, Å³ per cell: 408.1
D(E_F), states/eV/cell: 12.7
Formation energy from the elements, eV per atom: 0.50

=====

Record 2
The following is a PBE-GGA calculation of a geometry-optimized Fe2NiN structure, from Alexandria.

abc: 4.8330 4.8330 4.8330
angles: 102.34 102.34 124.92
Closest atoms and distances in Å follow each position.
Fractional positions:
Fe 0.0223 0.6250 0.8973  2 N 1.85
Fe 0.3750 0.2723 0.3973  2 N 1.85
Fe 0.7277 0.1250 0.1027  2 N 1.85
Fe 0.8750 0.9777 0.6027  2 N 1.85
Ni 0.2500 0.7500 0.5000  2 N 2.23, 4 Fe 2.43
Ni 0.5000 0.5000 0.0000  2 N 2.23, 4 Fe 2.43
N 0.0000 0.0000 0.0000  4 Fe 1.85
N 0.7500 0.2500 0.5000  4 Fe 1.85

Calculated values
Volume, Å³ per cell: 82.1
Energy relative to the elements, uncorrected, eV/f.u.: 0.9
D(E_F), states/eV/cell: 9.5

=====

Record 3
The following is a PBE-GGA calculation of a geometry-optimized Pu2GaRu structure, from Alexandria.

abc: 10.9788 10.9788 10.9788
angles: 15.41 15.41 15.41
Closest atoms and distances in Å follow each position.
Fractional positions:
Pu 0.0939 0.0939 0.0939  3 Ru 2.91, 6 Pu 2.94, 1 Ga 3.06
Pu 0.9061 0.9061 0.9061  3 Ru 2.91, 6 Pu 2.94, 1 Ga 3.06
Ga 0.0000 0.0000 0.0000  6 Ga 2.94, 2 Pu 3.06
Ru 0.5000 0.5000 0.5000  6 Pu 2.91, 6 Ru 2.94

Calculated values
Volume, Å³ per cell: 81.4
D(E_F), states/eV/cell: 9.8
Formation energy from the elements, eV per atom: 0.26

=====

Record 4
The following is a PBE-GGA calculation of a geometry-optimized HfFe3Br structure, from Alexandria.

abc: 4.7532 4.7532 4.7532
angles: 90.00 90.00 90.00
Closest atoms and distances in Å follow each position.
Fractional positions:
Hf 0.0000 0.0000 0.0000  6 Fe 2.38
Fe 0.0000 0.0000 0.5000  2 Hf 2.38
Fe 0.0000 0.5000 0.0000  2 Hf 2.38
Fe 0.5000 0.0000 0.0000  2 Hf 2.38
Br 0.5000 0.5000 0.5000  12 Fe 3.36

Calculated values
Volume, Å³ per cell: 107.4
Offset from the most stable computed form, eV/atom: 0.606
Energy relative to the elements, uncorrected, eV/f.u.: 7.8
D(E_F), states/eV/cell: 5.6

=====

Record 5
The following is a PBE-GGA calculation of a geometry-optimized SrLi structure, from Alexandria.

abc: 9.2114 9.2114 9.2114
angles: 92.52 92.52 155.79
Closest atoms and distances in Å follow each position.
Fractional positions:
Sr 0.1221 0.8181 0.9402  4 Li 3.62-3.68, 4 Sr 3.86-3.95
Sr 0.1819 0.1221 0.3040  4 Li 3.62-3.68, 4 Sr 3.86-3.95
Sr 0.8181 0.8779 0.6960  4 Li 3.62-3.68, 4 Sr 3.86-3.95
Sr 0.8779 0.1819 0.0598  4 Li 3.62-3.68, 4 Sr 3.86-3.95
Li 0.0720 0.3890 0.4610  5 Li 3.07-3.37
Li 0.3890 0.9280 0.3170  5 Li 3.07-3.37
Li 0.6110 0.0720 0.6830  5 Li 3.07-3.37
Li 0.9280 0.6110 0.5390  5 Li 3.07-3.37

Calculated values
Volume, Å³ per cell: 313.4
Offset from the most stable computed form, eV/atom: 0.127
D(E_F), states/eV/cell: 7.2
Formation energy from the elements, eV per atom: 0.15

=====

Record 6
The following is a PBE-GGA calculation of a geometry-optimized CdMo3C structure, from Alexandria.

abc: 4.8619 4.8619 4.8619
angles: 90.00 90.00 90.00
Closest atoms and distances in Å follow each position.
Fractional positions:
Cd 0.0000 0.0000 0.0000  6 Mo 2.43
Mo 0.0000 0.0000 0.5000  2 Cd 2.43
Mo 0.0000 0.5000 0.0000  2 Cd 2.43
Mo 0.5000 0.0000 0.0000  2 Cd 2.43
C 0.5000 0.5000 0.5000  12 Mo 3.44

Calculated values
Volume, Å³ per cell: 114.9
Offset from the most stable computed form, eV/atom: 3.605
D(E_F), states/eV/cell: 7.5
Formation energy from the elements, eV per atom: 3.89